[1]
# Cd3Sb2I (PBE, relaxed)
data_Cd3Sb2I
_cell_length_a 8.359
_cell_length_b 14.248
_cell_length_c 8.083
_cell_angle_alpha 90.00
_cell_angle_beta 110.57
_cell_angle_gamma 90.00
_symmetry_space_group_name_H-M 'C 1 c 1'
_symmetry_Int_Tables_number 9
_symmetry_space_group_name_Hall 'C -2yc'
loop_
_atom_site_label
_atom_site_fract_x
_atom_site_fract_y
_atom_site_fract_z
_atom_site_occupancy
Cd1 0.000 0.091 0.000 1
Cd2 0.441 0.098 0.468 1
Cd3 0.460 0.269 0.993 1
Sb1 0.089 0.076 0.368 1
Sb2 0.101 0.252 0.866 1
I1 0.099 0.415 0.372 1
# * E_form (uncorrected): -0.099 eV/atom


[2]
# SrGeSb2Te (PBE, relaxed)
data_SrGeSb2Te
_cell_length_a 5.978
_cell_length_b 5.978
_cell_length_c 5.993
_cell_angle_alpha 90.00
_cell_angle_beta 90.00
_cell_angle_gamma 90.00
_symmetry_space_group_name_H-M 'P 4/m m m'
_symmetry_Int_Tables_number 123
_symmetry_space_group_name_Hall '-P 4 2'
loop_
_atom_site_label
_atom_site_fract_x
_atom_site_fract_y
_atom_site_fract_z
_atom_site_occupancy
Sr1 0.000 0.000 0.000 1
Ge1 0.500 0.500 0.500 1
Sb1 0.000 0.500 0.000 1
Te1 0.000 0.000 0.500 1
# * E_form (uncorrected): 0.851 eV/atom


[3]
# V3GaNi4 (PBE, relaxed)
data_V3GaNi4
_cell_length_a 8.413
_cell_length_b 5.156
_cell_length_c 4.509
_cell_angle_alpha 90.00
_cell_angle_beta 90.00
_cell_angle_gamma 90.00
_symmetry_space_group_name_H-M 'P m n 21'
_symmetry_Int_Tables_number 31
_symmetry_space_group_name_Hall 'P 2ac -2'
loop_
_atom_site_label
_atom_site_fract_x
_atom_site_fract_y
_atom_site_fract_z
_atom_site_occupancy
V1 0.000 0.147 0.000 1
V2 0.249 0.377 0.780 1
Ga1 0.000 0.874 0.501 1
Ni1 0.000 0.373 0.470 1
Ni2 0.000 0.637 0.977 1
Ni3 0.249 0.122 0.307 1
# * formation enthalpy at 0 K: -3.582 kcal/mol of atoms


[4]
# NaTmPb (PBE, relaxed)
data_NaTmPb
_cell_length_a 5.2267
_cell_length_b 5.2267
_cell_length_c 3.5247
_cell_angle_alpha 90.00
_cell_angle_beta 90.00
_cell_angle_gamma 120.00
_symmetry_space_group_name_H-M 'P 3 m 1'
_symmetry_Int_Tables_number 156
_symmetry_space_group_name_Hall 'P 3 -2"'
loop_
_atom_site_label
_atom_site_fract_x
_atom_site_fract_y
_atom_site_fract_z
_atom_site_occupancy
Na1 0.0000 0.0000 0.0000 1
Tm1 0.3333 0.6667 0.5620 1
Pb1 0.6667 0.3333 0.2188 1
# * formation enthalpy at 0 K: -2.769 kcal/mol of atoms


[5]
# Li2AcPd4 (PBE, relaxed)
data_Li2AcPd4
_cell_length_a 7.006
_cell_length_b 7.006
_cell_length_c 5.261
_cell_angle_alpha 90.00
_cell_angle_beta 90.00
_cell_angle_gamma 90.00
_symmetry_space_group_name_H-M 'I 4/m m m'
_symmetry_Int_Tables_number 139
_symmetry_space_group_name_Hall '-I 4 2'
loop_
_atom_site_label
_atom_site_fract_x
_atom_site_fract_y
_atom_site_fract_z
_atom_site_occupancy
Li1 0.000 0.500 0.250 1
Ac1 0.000 0.000 0.000 1
Pd1 0.199 0.199 0.500 1
# * formation enthalpy at 0 K: -12.298 kcal/mol of atoms


[6]
# Na2MgBiSe4 (PBE, relaxed)
data_Na2MgBiSe4
_cell_length_a 7.005
_cell_length_b 4.053
_cell_length_c 7.510
_cell_angle_alpha 90.00
_cell_angle_beta 108.06
_cell_angle_gamma 90.00
_symmetry_space_group_name_H-M 'P 1 2/m 1'
_symmetry_Int_Tables_number 10
_symmetry_space_group_name_Hall '-P 2y'
loop_
_atom_site_label
_atom_site_fract_x
_atom_site_fract_y
_atom_site_fract_z
_atom_site_occupancy
Na1 0.000 0.000 0.000 1
Na2 0.500 0.500 0.000 1
Mg1 0.000 0.500 0.500 1
Bi1 0.500 0.000 0.500 1
Se1 0.232 0.000 0.721 1
Se2 0.239 0.500 0.271 1
# * E_form (uncorrected): -0.824 eV/atom